First-principles (GGA-PBE) data for an optimized crystal structure of LaNd3Tm5, as listed in the Alexandria database.

Formation enthalpy at 0 K in eV per atom: 0.502
Total magnetization in μB/f.u.: 0.0
Energy in eV per atom: -4.119

abc: 9.525 9.525 10.025
angles: 121.57 121.57 72.07
Fractional positions:
La  0.246  0.246  0.083
La  0.754  0.754  0.917
Nd  0.000  0.000  0.000
Nd  0.026  0.026  0.687
Nd  0.491  0.491  0.788
Nd  0.500  0.500  0.500
Nd  0.509  0.509  0.212
Nd  0.974  0.974  0.313
Tm  0.093  0.599  0.449
Tm  0.224  0.224  0.409
Tm  0.260  0.740  0.000
Tm  0.285  0.285  0.791
Tm  0.401  0.907  0.551
Tm  0.599  0.093  0.449
Tm  0.715  0.715  0.209
Tm  0.740  0.260  0.000
Tm  0.776  0.776  0.591
Tm  0.907  0.401  0.551